*A*
VASP calculation (PBE-GGA) on PaCdBi2 after structural relaxation.

a = 3.3342 Å, b = 3.3342 Å, c = 12.5144 Å
α = 82.34°, β = 82.34°, γ = 60.00°
Sites, in units of the cell vectors:
Bi1 0.0906 0.0906 0.7281
Pa1 0.5000 0.5000 0.5000
Cd1 0.0000 0.0000 0.0000
Bi2 0.9094 0.9094 0.2719

Values from the calculation:
D(E_F): 0.831 states/eV per atom
total magnetization: 0.000 μB/f.u.

***

*B*
VASP calculation (PBE-GGA) on PaCdBi2 after structural relaxation.

a = 5.4423 Å, b = 5.4423 Å, c = 5.4423 Å
α = 60.00°, β = 60.00°, γ = 60.00°
Last column: magnetic moment on the atom in μB.
Sites, in units of the cell vectors:
Pa1 0.0000 0.0000 0.0000  0.35
Cd1 0.5000 0.5000 0.5000  0.02
Bi1 0.7500 0.7500 0.7500  0.02
Bi2 0.2500 0.2500 0.2500  0.02

Values from the calculation:
D(E_F): 1.532 states/eV per atom
total magnetization: 0.459 μB/f.u.

***

*C*
VASP calculation (PBE-GGA) on PaCdBi2 after structural relaxation.

a = 4.6260 Å, b = 4.6260 Å, c = 7.5283 Å
α = 72.11°, β = 72.11°, γ = 60.00°
Last column: magnetic moment on the atom in μB.
Sites, in units of the cell vectors:
Cd1 0.4999 0.4999 0.5003  0.02
Bi1 0.2553 0.2553 0.2341  0.01
Pa1 0.6647 0.6647 0.0058  0.43
Bi2 0.0801 0.0801 0.7598  -0.01

Values from the calculation:
D(E_F): 1.081 states/eV per atom
total magnetization: 0.527 μB/f.u.

***

*D*
VASP calculation (PBE-GGA) on PaCdBi2 after structural relaxation.

a = 4.2044 Å, b = 5.0690 Å, c = 5.0690 Å
α = 90.00°, β = 90.00°, γ = 90.00°
Sites, in units of the cell vectors:
Bi1 0.0000 0.5000 0.0000
Cd1 0.5000 0.0000 0.0000
Pa1 0.5000 0.5000 0.5000
Bi2 0.0000 0.0000 0.5000

Values from the calculation:
D(E_F): 0.815 states/eV per atom
total magnetization: 0.000 μB/f.u.

***

We find *D* to be the most stable, with the next structure 160 meV/atom higher.